No. 1
The following is a DFT calculation (PBE-GGA) of crystalline CaCoBRh2 at its relaxed geometry.

Cell and atoms, written as CIF:
```
data_CaCoBRh2
_symmetry_space_group_name_H-M 'P 1'
_symmetry_Int_Tables_number 1
_cell_length_a 4.208
_cell_length_b 4.208
_cell_length_c 4.032
_cell_angle_alpha 90.00
_cell_angle_beta 90.00
_cell_angle_gamma 90.00
loop_
_symmetry_equiv_pos_as_xyz
'x,y,z'
loop_
_atom_site_label
_atom_site_type_symbol
_atom_site_fract_x
_atom_site_fract_y
_atom_site_fract_z
B1 B 0.000 0.000 0.000
Co1 Co 0.000 0.000 0.500
Rh1 Rh 0.500 0.000 0.000
Rh2 Rh 0.000 0.500 0.000
Ca1 Ca 0.500 0.500 0.500
```

Values from the calculation:
space-group type = No. 123
theoretical density = 7.342 g/cm³
E_form = -308 meV/atom



No. 2
The following is a DFT calculation (PBE-GGA) of crystalline TlCdInCl6 at its relaxed geometry.

Cell and atoms, written as CIF:
```
data_TlCdInCl6
_symmetry_space_group_name_H-M 'P 1'
_symmetry_Int_Tables_number 1
_cell_length_a 6.810
_cell_length_b 6.810
_cell_length_c 7.058
_cell_angle_alpha 90.01
_cell_angle_beta 90.01
_cell_angle_gamma 59.99
loop_
_symmetry_equiv_pos_as_xyz
'x,y,z'
loop_
_atom_site_label
_atom_site_type_symbol
_atom_site_fract_x
_atom_site_fract_y
_atom_site_fract_z
Cl1 Cl 0.623 0.012 0.290
Cl2 Cl 0.012 0.623 0.710
Cl3 Cl 0.623 0.365 0.710
Cl4 Cl 0.012 0.365 0.290
Cl5 Cl 0.365 0.012 0.710
Cl6 Cl 0.365 0.623 0.290
Tl1 Tl 0.000 0.000 0.000
Cd1 Cd 0.667 0.667 0.500
In1 In 0.333 0.333 0.500
```

Values from the calculation:
space-group type = No. 149
E_form (uncorrected) = -1.10 eV/atom
theoretical density = 3.775 g/cm³



No. 3
The following is a DFT calculation (PBE-GGA) of crystalline BRu at its relaxed geometry.

Cell and atoms, written as CIF:
```
data_BRu
_symmetry_space_group_name_H-M 'P 1'
_symmetry_Int_Tables_number 1
_cell_length_a 6.416
_cell_length_b 6.416
_cell_length_c 6.416
_cell_angle_alpha 90.00
_cell_angle_beta 90.00
_cell_angle_gamma 90.00
loop_
_symmetry_equiv_pos_as_xyz
'x,y,z'
loop_
_atom_site_label
_atom_site_type_symbol
_atom_site_fract_x
_atom_site_fract_y
_atom_site_fract_z
Ru1 Ru 0.657 0.343 0.657
Ru2 Ru 0.343 0.657 0.657
Ru3 Ru 0.657 0.657 0.343
Ru4 Ru 0.157 0.157 0.843
Ru5 Ru 0.157 0.843 0.157
Ru6 Ru 0.843 0.157 0.157
Ru7 Ru 0.343 0.343 0.343
Ru8 Ru 0.843 0.843 0.843
B1 B 0.839 0.161 0.839
B2 B 0.161 0.839 0.839
B3 B 0.339 0.339 0.661
B4 B 0.661 0.339 0.339
B5 B 0.839 0.839 0.161
B6 B 0.661 0.661 0.661
B7 B 0.161 0.161 0.161
B8 B 0.339 0.661 0.339
```

Values from the calculation:
space-group type = No. 217
theoretical density = 5.626 g/cm³
E_form = 625 meV/atom



No. 4
The following is a DFT calculation (PBE-GGA) of crystalline NbZnGa at its relaxed geometry.

Cell and atoms, written as CIF:
```
data_NbZnGa
_symmetry_space_group_name_H-M 'P 1'
_symmetry_Int_Tables_number 1
_cell_length_a 3.794
_cell_length_b 3.867
_cell_length_c 6.993
_cell_angle_alpha 106.05
_cell_angle_beta 90.00
_cell_angle_gamma 90.00
loop_
_symmetry_equiv_pos_as_xyz
'x,y,z'
loop_
_atom_site_label
_atom_site_type_symbol
_atom_site_fract_x
_atom_site_fract_y
_atom_site_fract_z
Ga1 Ga 0.250 0.413 0.826
Ga2 Ga 0.750 0.587 0.174
Zn1 Zn 0.750 0.250 0.500
Zn2 Zn 0.250 0.750 0.500
Nb1 Nb 0.750 0.921 0.841
Nb2 Nb 0.250 0.079 0.159
```

Values from the calculation:
space-group type = No. 63
theoretical density = 7.681 g/cm³
E_form = -133 meV/atom



No. 5
The following is a DFT calculation (PBE-GGA) of crystalline LiZr2Pb at its relaxed geometry.

Cell and atoms, written as CIF:
```
data_LiZr2Pb
_symmetry_space_group_name_H-M 'P 1'
_symmetry_Int_Tables_number 1
_cell_length_a 10.425
_cell_length_b 10.425
_cell_length_c 10.425
_cell_angle_alpha 17.81
_cell_angle_beta 17.81
_cell_angle_gamma 17.81
loop_
_symmetry_equiv_pos_as_xyz
'x,y,z'
loop_
_atom_site_label
_atom_site_type_symbol
_atom_site_fract_x
_atom_site_fract_y
_atom_site_fract_z
Pb1 Pb 0.750 0.750 0.750
Li1 Li 0.250 0.250 0.250
Zr1 Zr 0.503 0.503 0.503
Zr2 Zr 0.997 0.997 0.997
```

Values from the calculation:
space-group type = No. 166
theoretical density = 7.116 g/cm³
E_form = 183 meV/atom



No. 6
The following is a DFT calculation (PBE-GGA) of crystalline LaMg2P at its relaxed geometry.

Cell and atoms, written as CIF:
```
data_LaMg2P
_symmetry_space_group_name_H-M 'P 1'
_symmetry_Int_Tables_number 1
_cell_length_a 6.111
_cell_length_b 6.111
_cell_length_c 5.976
_cell_angle_alpha 54.82
_cell_angle_beta 54.82
_cell_angle_gamma 35.31
loop_
_symmetry_equiv_pos_as_xyz
'x,y,z'
loop_
_atom_site_label
_atom_site_type_symbol
_atom_site_fract_x
_atom_site_fract_y
_atom_site_fract_z
Mg1 Mg 0.984 0.984 0.047
Mg2 Mg 0.181 0.181 0.390
La1 La 0.806 0.806 0.748
P1 P 0.529 0.529 0.315
```

Values from the calculation:
space-group type = No. 8
theoretical density = 3.530 g/cm³
E_form = -469 meV/atom



The lowest theoretical density belongs to which entry? LaMg2P